[1]
# Te3Pb (PBE, relaxed)
# E ... -13.77 eV/cell
data_Te3Pb
_chemical_formula_sum 'Te3 Pb1'
_symmetry_space_group_name_H-M 'P 4/m m m'
_symmetry_Int_Tables_number 123
_symmetry_space_group_name_Hall '-P 4 2'
_cell_length_a 4.5635
_cell_length_b 4.5635
_cell_length_c 6.5451
_cell_angle_alpha 90.00
_cell_angle_beta 90.00
_cell_angle_gamma 90.00
loop_
_atom_site_label
_atom_site_fract_x
_atom_site_fract_y
_atom_site_fract_z
_atom_site_occupancy
Te1 0.0000 0.0000 0.0000 1
Te2 0.0000 0.0000 0.5000 1
Te3 0.5000 0.5000 0.0000 1
Pb1 0.5000 0.5000 0.5000 1

---

[2]
# AgSnTe4Pb2 (PBE, relaxed)
# E ... -28.77 eV/cell
data_AgSnTe4Pb2
_chemical_formula_sum 'Ag1 Sn1 Te4 Pb2'
_symmetry_space_group_name_H-M 'P 1 2/m 1'
_symmetry_Int_Tables_number 10
_symmetry_space_group_name_Hall '-P 2y'
_cell_length_a 7.7379
_cell_length_b 4.4663
_cell_length_c 7.7542
_cell_angle_alpha 90.00
_cell_angle_beta 109.36
_cell_angle_gamma 90.00
loop_
_atom_site_label
_atom_site_fract_x
_atom_site_fract_y
_atom_site_fract_z
_atom_site_occupancy
Ag1 0.0000 0.0000 0.0000 1
Sn1 0.0000 0.5000 0.5000 1
Te1 0.2291 0.5000 0.2366 1
Te2 0.2338 0.0000 0.7515 1
Pb1 0.5000 0.0000 0.5000 1
Pb2 0.5000 0.5000 0.0000 1

---

[3]
# SmDyMo4 (PBE, relaxed)
# E ... -206.97 eV/cell
# Energy of formation ... 0.151 eV per atom
data_SmDyMo4
_chemical_formula_sum 'Sm4 Dy4 Mo16'
_symmetry_space_group_name_H-M 'F -4 3 m'
_symmetry_Int_Tables_number 216
_symmetry_space_group_name_Hall 'F -4 2 3'
_cell_length_a 7.8359
_cell_length_b 7.8359
_cell_length_c 7.8359
_cell_angle_alpha 90.00
_cell_angle_beta 90.00
_cell_angle_gamma 90.00
loop_
_atom_site_label
_atom_site_fract_x
_atom_site_fract_y
_atom_site_fract_z
_atom_site_occupancy
Sm1 0.0000 0.0000 0.0000 1
Dy1 0.2500 0.2500 0.7500 1
Mo1 0.1251 0.1251 0.3749 1

---

[4]
# TcSe2BrCl (PBE, relaxed)
# E ... -19.74 eV/cell
# E above lowest polymorph ... 0.0 meV/atom
data_TcSe2BrCl
_chemical_formula_sum 'Tc1 Se2 Br1 Cl1'
_symmetry_space_group_name_H-M 'P 4/m m m'
_symmetry_Int_Tables_number 123
_symmetry_space_group_name_Hall '-P 4 2'
_cell_length_a 4.8209
_cell_length_b 4.8209
_cell_length_c 5.1731
_cell_angle_alpha 90.00
_cell_angle_beta 90.00
_cell_angle_gamma 90.00
loop_
_atom_site_label
_atom_site_fract_x
_atom_site_fract_y
_atom_site_fract_z
_atom_site_occupancy
Tc1 0.0000 0.0000 0.0000 1
Se1 0.0000 0.5000 0.0000 1
Br1 0.0000 0.0000 0.5000 1
Cl1 0.5000 0.5000 0.5000 1

---

[5]
# CsKCuO2 (PBE, relaxed)
# E ... -82.56 eV/cell
data_CsKCuO2
_chemical_formula_sum 'Cs4 K4 Cu4 O8'
_symmetry_space_group_name_H-M 'C m m e'
_symmetry_Int_Tables_number 67
_symmetry_space_group_name_Hall '-C 2a 2'
_cell_length_a 8.4586
_cell_length_b 13.5395
_cell_length_c 4.7193
_cell_angle_alpha 90.00
_cell_angle_beta 90.00
_cell_angle_gamma 90.00
loop_
_atom_site_label
_atom_site_fract_x
_atom_site_fract_y
_atom_site_fract_z
_atom_site_occupancy
Cs1 0.0000 0.2500 0.2400 1
K1 0.2500 0.0000 0.0000 1
Cu1 0.0000 0.0000 0.5000 1
O1 0.0000 0.0991 0.7362 1

---

[6]
# Cr2PRu (PBE, relaxed)
# E ... -34.54 eV/cell
# Energy of formation ... -0.152 eV per atom
data_Cr2PRu
_chemical_formula_sum 'Cr2 P1 Ru1'
_symmetry_space_group_name_H-M 'P 4 m m'
_symmetry_Int_Tables_number 99
_symmetry_space_group_name_Hall 'P 4 -2'
_cell_length_a 2.8860
_cell_length_b 2.8860
_cell_length_c 5.7860
_cell_angle_alpha 90.00
_cell_angle_beta 90.00
_cell_angle_gamma 90.00
loop_
_atom_site_label
_atom_site_fract_x
_atom_site_fract_y
_atom_site_fract_z
_atom_site_occupancy
Cr1 0.0000 0.0000 0.0000 1
Cr2 0.5000 0.5000 0.2383 1
P1 0.0000 0.0000 0.4570 1
Ru1 0.5000 0.5000 0.7158 1

---

[7]
# Cs2CdCl (PBE, relaxed)
# E ... -24.05 eV/cell
# E above lowest polymorph ... 8.9 meV/atom
data_Cs2CdCl
_chemical_formula_sum 'Cs6 Cd3 Cl3'
_symmetry_space_group_name_H-M 'R -3 m'
_symmetry_Int_Tables_number 166
_symmetry_space_group_name_Hall '-R 3 2"'
_cell_length_a 4.9350
_cell_length_b 4.9350
_cell_length_c 29.9062
_cell_angle_alpha 90.00
_cell_angle_beta 90.00
_cell_angle_gamma 120.00
loop_
_atom_site_label
_atom_site_fract_x
_atom_site_fract_y
_atom_site_fract_z
_atom_site_occupancy
Cs1 0.0000 0.0000 0.2363 1
Cd1 0.0000 0.0000 0.0000 1
Cl1 0.0000 0.0000 0.5000 1

---

[8]
# Sm4Cu2Au5 (PBE, relaxed)
# E ... -50.44 eV/cell
# Energy of formation ... -0.634 eV per atom
data_Sm4Cu2Au5
_chemical_formula_sum 'Sm4 Cu2 Au5'
_symmetry_space_group_name_H-M 'P 1 2/m 1'
_symmetry_Int_Tables_number 10
_symmetry_space_group_name_Hall '-P 2y'
_cell_length_a 7.4377
_cell_length_b 3.8806
_cell_length_c 8.6878
_cell_angle_alpha 90.00
_cell_angle_beta 91.22
_cell_angle_gamma 90.00
loop_
_atom_site_label
_atom_site_fract_x
_atom_site_fract_y
_atom_site_fract_z
_atom_site_occupancy
Sm1 0.2135 0.0000 0.3638 1
Sm2 0.2562 0.0000 0.8937 1
Cu1 0.0669 0.5000 0.1251 1
Au1 0.1327 0.5000 0.6318 1
Au2 0.4202 0.5000 0.1529 1
Au3 0.5000 0.5000 0.5000 1

---

[9]
# KRb6Ag (PBE, relaxed)
# E ... -18.68 eV/cell
# Energy of formation ... 0.052 eV per atom
data_KRb6Ag
_chemical_formula_sum 'K2 Rb12 Ag2'
_symmetry_space_group_name_H-M 'A m m 2'
_symmetry_Int_Tables_number 38
_symmetry_space_group_name_Hall 'A 2 -2'
_cell_length_a 5.2504
_cell_length_b 14.2536
_cell_length_c 16.1607
_cell_angle_alpha 90.00
_cell_angle_beta 90.00
_cell_angle_gamma 90.00
loop_
_atom_site_label
_atom_site_fract_x
_atom_site_fract_y
_atom_site_fract_z
_atom_site_occupancy
K1 0.0000 0.0000 0.0000 1
Rb1 0.0000 0.0000 0.4846 1
Rb2 0.0000 0.1628 0.7469 1
Rb3 0.5000 0.0000 0.2396 1
Rb4 0.5000 0.2455 0.5123 1
Ag1 0.5000 0.0000 0.6420 1

---

[10]
# UNiPt3 (PBE, relaxed)
# E ... -74.63 eV/cell
# Energy of formation ... -0.424 eV per atom
# E above lowest polymorph ... 52.7 meV/atom
data_UNiPt3
_chemical_formula_sum 'U2 Ni2 Pt6'
_symmetry_space_group_name_H-M 'P m m n'
_symmetry_Int_Tables_number 59
_cell_length_a 4.2232
_cell_length_b 6.6700
_cell_length_c 6.0991
_cell_angle_alpha 90.00
_cell_angle_beta 90.00
_cell_angle_gamma 90.00
loop_
_symmetry_equiv_pos_as_xyz
'x,y,z'
'-x,-y,-z'
'-x+1/2,-y+1/2,z'
'x+1/2,y+1/2,-z'
'x+1/2,-y,-z'
'-x+1/2,y,z'
'-x,y+1/2,-z'
'x,-y+1/2,z'
loop_
_atom_site_label
_atom_site_fract_x
_atom_site_fract_y
_atom_site_fract_z
_atom_site_occupancy
U1 0.2500 0.2500 0.2422 1
Ni1 0.2500 0.7500 0.0437 1
Pt1 0.2500 0.0502 0.7768 1
Pt2 0.2500 0.7500 0.4538 1

---

The records above yield N(E_F) values of 0.62, 0.64, 1.39, 0.97, 1.18, 0.68, 0.72, 0.63, 0.76, 1.38 states/eV per atom, respectively.